# 1
# La2TlI | Alexandria via LeMat-Bulk | PBE-GGA | optimized geometry
# * total magnetization: 0.0 μB/f.u.
# * E: -49.73 eV for the cell shown
# * formation energy without anion corrections: -0.70 eV per atom
# * theoretical density: 7.1 g/cm³
# * excess energy over the best structure of this formula in the dataset: 0.034 eV/atom
data_La2TlI
_chemical_formula_sum 'La6 Tl3 I3'
_symmetry_space_group_name_H-M 'R -3 m'
_symmetry_Int_Tables_number 166
_symmetry_space_group_name_Hall '-R 3 2"'
_cell_length_a 4.7117
_cell_length_b 4.7117
_cell_length_c 22.2144
_cell_angle_alpha 90.00
_cell_angle_beta 90.00
_cell_angle_gamma 120.00
loop_
_atom_site_label
_atom_site_type_symbol
_atom_site_fract_x
_atom_site_fract_y
_atom_site_fract_z
_atom_site_occupancy
La1 La 0.0000 0.0000 0.2441 1
Tl1 Tl 0.0000 0.0000 0.5000 1
I1 I 0.0000 0.0000 0.0000 1

=====

# 2
# La2TlI | Alexandria via LeMat-Bulk | PBE-GGA | optimized geometry
# * total magnetization: 0.0 μB/f.u.
# * E: -16.57 eV for the cell shown
# * formation energy without anion corrections: -0.70 eV per atom
# * theoretical density: 8.0 g/cm³
# * excess energy over the best structure of this formula in the dataset: 0.036 eV/atom
data_La2TlI
_chemical_formula_sum 'La2 Tl1 I1'
_symmetry_space_group_name_H-M 'P 4/m m m'
_symmetry_Int_Tables_number 123
_symmetry_space_group_name_Hall '-P 4 2'
_cell_length_a 3.8190
_cell_length_b 3.8190
_cell_length_c 8.6802
_cell_angle_alpha 90.00
_cell_angle_beta 90.00
_cell_angle_gamma 90.00
loop_
_atom_site_label
_atom_site_type_symbol
_atom_site_fract_x
_atom_site_fract_y
_atom_site_fract_z
_atom_site_occupancy
La1 La 0.0000 0.0000 0.2401 1
Tl1 Tl 0.5000 0.5000 0.0000 1
I1 I 0.5000 0.5000 0.5000 1

=====

# 3
# La3Tl2I | Alexandria via LeMat-Bulk | PBE-GGA | optimized geometry
# * total magnetization: 0.0 μB/f.u.
# * E: -24.67 eV for the cell shown
# * formation energy without anion corrections: -0.60 eV per atom
# * theoretical density: 8.3 g/cm³
data_La3Tl2I
_chemical_formula_sum 'La3 Tl2 I1'
_symmetry_space_group_name_H-M 'P 4/m m m'
_symmetry_Int_Tables_number 123
_symmetry_space_group_name_Hall '-P 4 2'
_cell_length_a 3.7887
_cell_length_b 3.7887
_cell_length_c 13.2256
_cell_angle_alpha 90.00
_cell_angle_beta 90.00
_cell_angle_gamma 90.00
loop_
_atom_site_label
_atom_site_type_symbol
_atom_site_fract_x
_atom_site_fract_y
_atom_site_fract_z
_atom_site_occupancy
La1 La 0.0000 0.0000 0.0000 1
La2 La 0.0000 0.0000 0.3264 1
Tl1 Tl 0.5000 0.5000 0.1688 1
I1 I 0.5000 0.5000 0.5000 1

=====

# 4
# La3TlI3 | Alexandria via LeMat-Bulk | PBE-GGA | optimized geometry
# * total magnetization: 0.0 μB/f.u.
# * E: -29.13 eV for the cell shown
# * formation energy without anion corrections: -1.05 eV per atom
# * theoretical density: 6.1 g/cm³
data_La3TlI3
_chemical_formula_sum 'La3 Tl1 I3'
_symmetry_space_group_name_H-M 'P m -3 m'
_symmetry_Int_Tables_number 221
_symmetry_space_group_name_Hall '-P 4 2 3'
_cell_length_a 6.4964
_cell_length_b 6.4964
_cell_length_c 6.4964
_cell_angle_alpha 90.00
_cell_angle_beta 90.00
_cell_angle_gamma 90.00
loop_
_atom_site_label
_atom_site_type_symbol
_atom_site_fract_x
_atom_site_fract_y
_atom_site_fract_z
_atom_site_occupancy
La1 La 0.0000 0.0000 0.5000 1
Tl1 Tl 0.0000 0.0000 0.0000 1
I1 I 0.0000 0.5000 0.5000 1

=====

# 5
# LaTl4I7 | Alexandria via LeMat-Bulk | PBE-GGA | optimized geometry
# * total magnetization: 0.0 μB/f.u.
# * E: -71.76 eV for the cell shown
# * formation energy without anion corrections: -0.89 eV per atom
# * theoretical density: 5.3 g/cm³
data_LaTl4I7
_chemical_formula_sum 'La2 Tl8 I14'
_symmetry_space_group_name_H-M 'C 1 2/m 1'
_symmetry_Int_Tables_number 12
_symmetry_space_group_name_Hall '-C 2y'
_cell_length_a 23.0509
_cell_length_b 6.1441
_cell_length_c 8.4946
_cell_angle_alpha 90.00
_cell_angle_beta 106.54
_cell_angle_gamma 90.00
loop_
_atom_site_label
_atom_site_type_symbol
_atom_site_fract_x
_atom_site_fract_y
_atom_site_fract_z
_atom_site_occupancy
La1 La 0.0000 0.0000 0.0000 1
Tl1 Tl 0.0844 0.5000 0.6443 1
Tl2 Tl 0.1972 0.5000 0.2626 1
I1 I 0.0000 0.5000 0.0000 1
I2 I 0.0800 0.0000 0.3695 1
I3 I 0.1198 0.0000 0.8880 1
I4 I 0.2262 0.5000 0.6693 1

=====

# 6
# La2TlI2 | Alexandria via LeMat-Bulk | PBE-GGA | optimized geometry
# * total magnetization: 0.0 μB/f.u.
# * E: -76.08 eV for the cell shown
# * formation energy without anion corrections: -0.74 eV per atom
# * theoretical density: 6.4 g/cm³
# * excess energy over the best structure of this formula in the dataset: 0.257 eV/atom
data_La2TlI2
_chemical_formula_sum 'La8 Tl4 I8'
_symmetry_space_group_name_H-M 'C 1 2/m 1'
_symmetry_Int_Tables_number 12
_symmetry_space_group_name_Hall '-C 2y'
_cell_length_a 14.4155
_cell_length_b 6.3310
_cell_length_c 9.5998
_cell_angle_alpha 90.00
_cell_angle_beta 118.78
_cell_angle_gamma 90.00
loop_
_atom_site_label
_atom_site_type_symbol
_atom_site_fract_x
_atom_site_fract_y
_atom_site_fract_z
_atom_site_occupancy
La1 La 0.0094 0.0000 0.1933 1
La2 La 0.1600 0.5000 0.0757 1
Tl1 Tl 0.1227 0.0000 0.5924 1
I1 I 0.0375 0.5000 0.2927 1
I2 I 0.2201 0.0000 0.1464 1

=====

# 7
# LaTl3I | Alexandria via LeMat-Bulk | PBE-GGA | optimized geometry
# * total magnetization: 0.0 μB/f.u.
# * E: -11.87 eV for the cell shown
# * formation energy without anion corrections: 0.34 eV per atom
# * theoretical density: 5.6 g/cm³
# * excess energy over the best structure of this formula in the dataset: 0.000 eV/atom
data_LaTl3I
_chemical_formula_sum 'La1 Tl3 I1'
_symmetry_space_group_name_H-M 'P m -3 m'
_symmetry_Int_Tables_number 221
_symmetry_space_group_name_Hall '-P 4 2 3'
_cell_length_a 6.3723
_cell_length_b 6.3723
_cell_length_c 6.3723
_cell_angle_alpha 90.00
_cell_angle_beta 90.00
_cell_angle_gamma 90.00
loop_
_atom_site_label
_atom_site_type_symbol
_atom_site_fract_x
_atom_site_fract_y
_atom_site_fract_z
_atom_site_occupancy
La1 La 0.0000 0.0000 0.0000 1
Tl1 Tl 0.0000 0.0000 0.5000 1
I1 I 0.5000 0.5000 0.5000 1

=====

# 8
# La2TlI8 | Alexandria via LeMat-Bulk | PBE-GGA | optimized geometry
# * total magnetization: 0.0 μB/f.u.
# * E: -74.99 eV for the cell shown
# * formation energy without anion corrections: -1.17 eV per atom
# * theoretical density: 5.1 g/cm³
data_La2TlI8
_chemical_formula_sum 'La4 Tl2 I16'
_symmetry_space_group_name_H-M 'C 1 2/m 1'
_symmetry_Int_Tables_number 12
_symmetry_space_group_name_Hall '-C 2y'
_cell_length_a 15.4521
_cell_length_b 10.0759
_cell_length_c 6.3135
_cell_angle_alpha 90.00
_cell_angle_beta 94.61
_cell_angle_gamma 90.00
loop_
_atom_site_label
_atom_site_type_symbol
_atom_site_fract_x
_atom_site_fract_y
_atom_site_fract_z
_atom_site_occupancy
La1 La 0.1971 0.0000 0.0129 1
Tl1 Tl 0.0000 0.5000 0.5000 1
I1 I 0.0057 0.0000 0.2528 1
I2 I 0.1309 0.3083 0.9443 1
I3 I 0.2487 0.0000 0.5243 1

=====

# 9
# La4Tl2I3 | Alexandria via LeMat-Bulk | PBE-GGA | optimized geometry
# * total magnetization: 0.0 μB/f.u.
# * E: -36.82 eV for the cell shown
# * formation energy without anion corrections: -0.86 eV per atom
# * theoretical density: 6.4 g/cm³
data_La4Tl2I3
_chemical_formula_sum 'La4 Tl2 I3'
_symmetry_space_group_name_H-M 'P -3 m 1'
_symmetry_Int_Tables_number 164
_symmetry_space_group_name_Hall '-P 3 2"'
_cell_length_a 4.5495
_cell_length_b 4.5495
_cell_length_c 19.5536
_cell_angle_alpha 90.00
_cell_angle_beta 90.00
_cell_angle_gamma 120.00
loop_
_atom_site_label
_atom_site_type_symbol
_atom_site_fract_x
_atom_site_fract_y
_atom_site_fract_z
_atom_site_occupancy
La1 La 0.0000 0.0000 0.2007 1
La2 La 0.3333 0.6667 0.3973 1
Tl1 Tl 0.3333 0.6667 0.7006 1
I1 I 0.0000 0.0000 0.5000 1
I2 I 0.3333 0.6667 0.0991 1

=====

# 10
# La2TlI | Alexandria via LeMat-Bulk | PBE-GGA | optimized geometry
# * total magnetization: 0.0 μB/f.u.
# * E: -58.67 eV for the cell shown
# * formation energy without anion corrections: -0.22 eV per atom
# * theoretical density: 5.5 g/cm³
# * excess energy over the best structure of this formula in the dataset: 0.511 eV/atom
data_La2TlI
_chemical_formula_sum 'La8 Tl4 I4'
_symmetry_space_group_name_H-M 'I -4 2 d'
_symmetry_Int_Tables_number 122
_symmetry_space_group_name_Hall 'I -4 2bw'
_cell_length_a 6.6306
_cell_length_b 6.6306
_cell_length_c 16.8837
_cell_angle_alpha 90.00
_cell_angle_beta 90.00
_cell_angle_gamma 90.00
loop_
_atom_site_label
_atom_site_type_symbol
_atom_site_fract_x
_atom_site_fract_y
_atom_site_fract_z
_atom_site_occupancy
La1 La 0.2316 0.2500 0.1250 1
Tl1 Tl 0.0000 0.0000 0.0000 1
I1 I 0.0000 0.0000 0.5000 1

=====

# 11
# LaTlI2 | Alexandria via LeMat-Bulk | PBE-GGA | optimized geometry
# * total magnetization: 0.0 μB/f.u.
# * E: -41.91 eV for the cell shown
# * formation energy without anion corrections: -0.89 eV per atom
# * theoretical density: 6.0 g/cm³
# * excess energy over the best structure of this formula in the dataset: 0.000 eV/atom
data_LaTlI2
_chemical_formula_sum 'La3 Tl3 I6'
_symmetry_space_group_name_H-M 'R -3 m'
_symmetry_Int_Tables_number 166
_symmetry_space_group_name_Hall '-R 3 2"'
_cell_length_a 4.0769
_cell_length_b 4.0769
_cell_length_c 34.7296
_cell_angle_alpha 90.00
_cell_angle_beta 90.00
_cell_angle_gamma 120.00
loop_
_atom_site_label
_atom_site_type_symbol
_atom_site_fract_x
_atom_site_fract_y
_atom_site_fract_z
_atom_site_occupancy
La1 La 0.0000 0.0000 0.0000 1
Tl1 Tl 0.0000 0.0000 0.5000 1
I1 I 0.0000 0.0000 0.3979 1

=====

# 12
# La2TlI | Alexandria via LeMat-Bulk | PBE-GGA | optimized geometry
# * total magnetization: 0.0 μB/f.u.
# * E: -66.85 eV for the cell shown
# * formation energy without anion corrections: -0.74 eV per atom
# * theoretical density: 7.3 g/cm³
# * excess energy over the best structure of this formula in the dataset: 0.000 eV/atom
data_La2TlI
_chemical_formula_sum 'La8 Tl4 I4'
_symmetry_space_group_name_H-M 'C m m e'
_symmetry_Int_Tables_number 67
_symmetry_space_group_name_Hall '-C 2a 2'
_cell_length_a 8.1964
_cell_length_b 10.3033
_cell_length_c 6.5221
_cell_angle_alpha 90.00
_cell_angle_beta 90.00
_cell_angle_gamma 90.00
loop_
_atom_site_label
_atom_site_type_symbol
_atom_site_fract_x
_atom_site_fract_y
_atom_site_fract_z
_atom_site_occupancy
La1 La 0.0000 0.2500 0.9995 1
La2 La 0.2500 0.0000 0.5000 1
Tl1 Tl 0.0000 0.2500 0.4994 1
I1 I 0.2500 0.0000 0.0000 1